[1]
Material: Ho4HgSe2
Method: DFT, PBE
State: relaxed

Structure (POSCAR):
```
Ho4HgSe2
1.0
4.054 0.000 0.000
-2.027 6.545 0.000
0.000 0.000 13.914
Ho Hg Se
8 2 4
direct
0.226 0.453 0.624
0.774 0.547 0.376
0.774 0.547 0.124
0.226 0.453 0.876
0.937 0.874 0.750
0.063 0.126 0.250
0.500 0.000 0.000
0.500 0.000 0.500
0.390 0.781 0.250
0.610 0.219 0.750
0.863 0.725 0.941
0.137 0.275 0.059
0.863 0.725 0.559
0.137 0.275 0.441
```

Values from the calculation:
SG: No. 63
Calculated density (g cm⁻³): 9.16
E_form (uncorrected) (eV per atom): -1.135
Volume (Å³/atom): 26.37
Offset from the most stable computed form (meV per atom): 0.0



[2]
Material: Ho2HgSe
Method: DFT, PBE
State: relaxed

Structure (POSCAR):
```
Ho2HgSe
1.0
-2.876 -0.986 2.410
-1.537 -3.558 -0.168
3.852 -4.065 6.057
Ho Hg Se
2 1 1
direct
0.075 0.075 0.775
0.258 0.258 0.227
0.500 0.500 0.501
0.668 0.668 0.996
```

Values from the calculation:
SG: No. 160
Calculated density (g cm⁻³): 9.78
E_form (uncorrected) (eV per atom): -1.016
Volume (Å³/atom): 25.87
Offset from the most stable computed form (meV per atom): 65.9



[3]
Material: Ho5HgSe4
Method: DFT, PBE
State: relaxed

Structure (POSCAR):
```
Ho5HgSe4
1.0
5.241 0.000 2.528
2.620 6.501 1.264
-0.204 0.000 7.120
Ho Hg Se
5 1 4
direct
0.900 0.403 0.799
0.303 0.799 0.597
0.699 0.201 0.403
0.102 0.597 0.201
0.501 0.000 0.000
0.001 0.000 0.000
0.402 0.402 0.797
0.803 0.797 0.598
0.198 0.203 0.402
0.600 0.598 0.203
```

Values from the calculation:
SG: No. 87
Calculated density (g cm⁻³): 9.06
E_form (uncorrected) (eV per atom): -1.486
Volume (Å³/atom): 24.59